The following is a PBE calculation of a geometry-optimized PuTh2Te2As2 structure, from Alexandria via LeMat-Bulk.

Lattice parameters (Å, degrees): 5.284 5.284 8.727 107.62 107.62 90.00
Last column: magnetic moment on the atom in μB.
Atoms (fractional coordinates):
As1 0.000 0.500 0.000  -0.06
As2 0.500 0.000 0.000  -0.06
Te1 0.191 0.191 0.381  -0.04
Te2 0.809 0.809 0.619  -0.04
Th1 0.610 0.610 0.219  0.35
Th2 0.390 0.390 0.781  0.35
Pu1 0.000 0.000 0.000  4.92

* E_form (uncorrected): -800 meV per atom
* energy: -50.352 eV for the cell shown